[1]
Density functional theory data (GGA-PBE) for crystalline YHfIn2Sn at its relaxed geometry.

- DOS at the Fermi energy: 0.86 states/eV per atom
- Theoretical density: 5.9 g cm⁻³
- VASP energy: -4.167 eV/atom
- Symmetry: P4/mmm, No. 123
- Crystal system: tetragonal
- Magnetization: 0.00 μB/cell
- Calculated formation energy: 1.013 eV per atom

a = 5.700 Å, b = 5.346 Å, c = 5.700 Å
α = 90.00°, β = 90.00°, γ = 90.00°
Fractional coordinates of all 5 atoms:
Y1 0.000 0.000 0.000
Sn1 0.500 0.500 0.500
In1 0.500 0.000 0.000
In2 0.000 0.000 0.500
Hf1 0.000 0.500 0.000


[2]
Density functional theory data (GGA-PBE) for crystalline Hf2ZnInSn at its relaxed geometry.

- DOS at the Fermi energy: 0.93 states/eV per atom
- Theoretical density: 8.2 g cm⁻³
- VASP energy: -4.729 eV/atom
- Symmetry: P4/mmm, No. 123
- Crystal system: tetragonal
- Magnetization: 0.00 μB/cell
- Calculated formation energy: 0.856 eV per atom

a = 5.325 Å, b = 4.700 Å, c = 5.325 Å
α = 90.00°, β = 90.00°, γ = 90.00°
Fractional coordinates of all 5 atoms:
Sn1 0.500 0.500 0.500
Zn1 0.000 0.500 0.000
In1 0.000 0.000 0.000
Hf1 0.500 0.000 0.000
Hf2 0.000 0.000 0.500


[3]
Density functional theory data (GGA-PBE) for crystalline Hf2ZrInSn at its relaxed geometry.

- DOS at the Fermi energy: 1.28 states/eV per atom
- Theoretical density: 8.0 g cm⁻³
- VASP energy: -6.130 eV/atom
- Symmetry: P4/mmm, No. 123
- Crystal system: tetragonal
- Magnetization: 0.00 μB/cell
- Calculated formation energy: 0.909 eV per atom

a = 5.187 Å, b = 5.251 Å, c = 5.187 Å
α = 90.00°, β = 90.00°, γ = 90.00°
Fractional coordinates of all 5 atoms:
Sn1 0.500 0.500 0.500
Hf1 0.000 0.000 0.500
In1 0.000 0.000 0.000
Zr1 0.000 0.500 0.000
Hf2 0.500 0.000 0.000